Dy3Ho2Ru2: relaxed, PBE.

Cell: 6.244 6.244 8.458 Å, 112.34 112.34 36.18°
Fractional coordinates of all 7 atoms:
Dy (0.000, 0.000, 0.000)
Dy (0.121, 0.121, 0.429)
Dy (0.879, 0.879, 0.571)
Ho (0.334, 0.334, 0.188)
Ho (0.666, 0.666, 0.812)
Ru (0.321, 0.321, 0.778)
Ru (0.679, 0.679, 0.222)

Formation enthalpy at 0 K (eV/atom): -0.338
Crystal system: monoclinic
SG: C2/m, No. 12
Density of states at the Fermi level (states/eV per cell): 5.50

KCaAg2: relaxed, PBE.

Cell: 5.323 5.323 5.323 Å, 60.00 60.00 60.00°
Fractional coordinates of all 4 atoms:
K (0.000, 0.000, 0.000)
Ca (0.250, 0.250, 0.250)
Ag (0.500, 0.500, 0.500)
Ag (0.750, 0.750, 0.750)

Formation enthalpy at 0 K (eV/atom): 0.103
Crystal system: cubic
SG: F-43m, No. 216
Density of states at the Fermi level (states/eV per cell): 3.41